This record from Alexandria describes NdTm2TlC after structural relaxation. The functional is GGA-PBE.

Cell lengths 5.126, 4.862, 4.862 Å; angles 90.00, 90.00, 90.00 degrees
Sites, in units of the cell vectors:
1 Tm 0.000 0.000 0.500
2 Tm 0.000 0.500 0.000
3 C 0.000 0.000 0.000
4 Tl 0.500 0.500 0.500
5 Nd 0.500 0.000 0.000

Computed properties:
VASP energy in eV per atom: -5.468
Formation energy from the elements in eV/f.u.: -2.04